(1)
# GGA-PBE PuMgRh, optimized geometry
data_PuMgRh
_symmetry_space_group_name_H-M 'I 4 m m'
_symmetry_Int_Tables_number 107
_symmetry_space_group_name_Hall 'I 4 -2'
_cell_length_a 3.1717
_cell_length_b 3.1717
_cell_length_c 12.1745
_cell_angle_alpha 90.00
_cell_angle_beta 90.00
_cell_angle_gamma 90.00
loop_
_atom_site_label
_atom_site_fract_x
_atom_site_fract_y
_atom_site_fract_z
_atom_site_occupancy
Pu1 0.0000 0.0000 0.0000 1
Mg1 0.0000 0.0000 0.7188 1
Rh1 0.0000 0.0000 0.3491 1
# DFT total energy in eV per atom: -8.05
# Total moment in μB/f.u.: 5.3

(2)
# GGA-PBE PuMg3Rh3, optimized geometry
data_PuMg3Rh3
_symmetry_space_group_name_H-M 'R -3 m'
_symmetry_Int_Tables_number 166
_symmetry_space_group_name_Hall '-R 3 2"'
_cell_length_a 9.0017
_cell_length_b 9.0017
_cell_length_c 5.5250
_cell_angle_alpha 90.00
_cell_angle_beta 90.00
_cell_angle_gamma 120.00
loop_
_atom_site_label
_atom_site_fract_x
_atom_site_fract_y
_atom_site_fract_z
_atom_site_occupancy
Pu1 0.0000 0.0000 0.0000 1
Mg1 0.0000 0.5000 0.0000 1
Rh1 0.0000 0.5000 0.5000 1
# DFT total energy in eV per atom: -6.33
# Total moment in μB/f.u.: 4.7

(3)
# GGA-PBE PuMgRuRh, optimized geometry
data_PuMgRuRh
_symmetry_space_group_name_H-M 'F -4 3 m'
_symmetry_Int_Tables_number 216
_symmetry_space_group_name_Hall 'F -4 2 3'
_cell_length_a 6.5195
_cell_length_b 6.5195
_cell_length_c 6.5195
_cell_angle_alpha 90.00
_cell_angle_beta 90.00
_cell_angle_gamma 90.00
loop_
_atom_site_label
_atom_site_fract_x
_atom_site_fract_y
_atom_site_fract_z
_atom_site_occupancy
Pu1 0.0000 0.0000 0.0000 1
Mg1 0.0000 0.0000 0.5000 1
Ru1 0.2500 0.2500 0.7500 1
Rh1 0.2500 0.2500 0.2500 1
# DFT total energy in eV per atom: -8.50
# Total moment in μB/f.u.: 4.1

(4)
# GGA-PBE Pu2MgSb3Rh4, optimized geometry
data_Pu2MgSb3Rh4
_symmetry_space_group_name_H-M 'P -4 m 2'
_symmetry_Int_Tables_number 115
_cell_length_a 4.2224
_cell_length_b 4.2224
_cell_length_c 11.6113
_cell_angle_alpha 90.00
_cell_angle_beta 90.00
_cell_angle_gamma 90.00
loop_
_symmetry_equiv_pos_as_xyz
'x,y,z'
'y,-x,-z'
'-x,-y,z'
'-y,x,-z'
'-x,y,z'
'-y,-x,-z'
'x,-y,z'
'y,x,-z'
loop_
_atom_site_label
_atom_site_fract_x
_atom_site_fract_y
_atom_site_fract_z
_atom_site_occupancy
Pu1 0.0000 0.5000 0.2429 1
Mg1 0.5000 0.5000 0.0000 1
Sb1 0.0000 0.0000 0.0000 1
Sb2 0.0000 0.5000 0.6330 1
Rh1 0.0000 0.0000 0.5000 1
Rh2 0.0000 0.5000 0.8543 1
Rh3 0.5000 0.5000 0.5000 1
# Formation energy (no corrections) in meV/atom: -586
# Total moment in μB/f.u.: 10.6

(5)
# GGA-PBE Pu2MgSi2Rh5, optimized geometry
data_Pu2MgSi2Rh5
_symmetry_space_group_name_H-M 'P 4/m b m'
_symmetry_Int_Tables_number 127
_symmetry_space_group_name_Hall '-P 4 2ab'
_cell_length_a 9.9520
_cell_length_b 9.9520
_cell_length_c 3.4233
_cell_angle_alpha 90.00
_cell_angle_beta 90.00
_cell_angle_gamma 90.00
loop_
_atom_site_label
_atom_site_fract_x
_atom_site_fract_y
_atom_site_fract_z
_atom_site_occupancy
Pu1 0.1752 0.3248 0.0000 1
Mg1 0.0000 0.0000 0.0000 1
Si1 0.1243 0.6243 0.0000 1
Rh1 0.0000 0.5000 0.5000 1
Rh2 0.0682 0.7840 0.5000 1
# Formation energy (no corrections) in meV/atom: -685
# Total moment in μB/f.u.: 10.1

(6)
# GGA-PBE PuMgSnRh, optimized geometry
data_PuMgSnRh
_symmetry_space_group_name_H-M 'F -4 3 m'
_symmetry_Int_Tables_number 216
_symmetry_space_group_name_Hall 'F -4 2 3'
_cell_length_a 6.9700
_cell_length_b 6.9700
_cell_length_c 6.9700
_cell_angle_alpha 90.00
_cell_angle_beta 90.00
_cell_angle_gamma 90.00
loop_
_atom_site_label
_atom_site_fract_x
_atom_site_fract_y
_atom_site_fract_z
_atom_site_occupancy
Pu1 0.0000 0.0000 0.0000 1
Mg1 0.0000 0.0000 0.5000 1
Sn1 0.2500 0.2500 0.2500 1
Rh1 0.2500 0.2500 0.7500 1
# DFT total energy in eV per atom: -7.08
# Total moment in μB/f.u.: 5.0

> total moment of number 3 (PuMgRuRh)?

4.1 μB/f.u.

> Which formula does entry 2 have?

PuMg3Rh3